# 1
Material: Li5TcAsN2
Method: DFT, PBE
State: relaxed

Properties
* crystal system: tetragonal
* formation energy (no corrections): -233 meV per atom

Cell lengths 3.8405, 3.8405, 8.5960 Å; angles 90.00, 90.00, 90.00 degrees
Last column: magnetic moment on the atom in μB.
Element x y z (fractional)
Li 0.0000 0.0000 0.5000  0.00
Li 0.0000 0.5000 0.7276  0.00
Li 0.5000 0.0000 0.2724  0.00
Li 0.0000 0.5000 0.2724  0.00
Li 0.5000 0.0000 0.7276  0.00
Tc 0.0000 0.0000 0.0000  0.99
As 0.5000 0.5000 0.5000  -0.01
N 0.0000 0.0000 0.2139  -0.04
N 0.0000 0.0000 0.7861  -0.04

=====

# 2
Material: SiTeAu2
Method: DFT, PBE
State: relaxed

Properties
* ΔE to the lowest computed polymorph: 24 meV/atom
* crystal system: trigonal
* formation energy (no corrections): 80 meV per atom

Cell lengths 6.7698, 6.7698, 6.7698 Å; angles 33.63, 33.63, 33.63 degrees
Element x y z (fractional)
Au 0.9945 0.9945 0.9945
Au 0.2406 0.2406 0.2406
Si 0.5117 0.5117 0.5117
Te 0.7532 0.7532 0.7532

=====

# 3
Material: AsPPb2
Method: DFT, PBE
State: relaxed

Properties
* energy relative to the elements: 0.1460 eV/atom
* ΔE to the lowest computed polymorph: 3 meV/atom
* crystal system: orthorhombic

Cell lengths 6.1835, 6.1835, 6.1835 Å; angles 146.98, 128.17, 62.84 degrees
Element x y z (fractional)
As 0.4455 0.4455 0.0000
P 0.2858 0.7858 0.5000
Pb 0.0263 0.0263 0.0000
Pb 0.7423 0.2423 0.5000

=====

DOS at the Fermi energy in states/eV per atom, matching the order above: 0.338 0.279 0.462